A geometry-optimized YTaBiBr2 structure, computed with GGA-PBEsol.

a = 5.1343 Å, b = 5.1343 Å, c = 6.3407 Å
α = 90.00°, β = 90.00°, γ = 90.00°
Closest atoms and distances in Å follow each position.
Positions (direct):
Y: 0.0000 0.0000 0.0000  4 Br 2.57
Ta: 0.0000 0.0000 0.5000  2 Y 3.17
Bi: 0.5000 0.5000 0.5000  4 Ta 3.63
Br: 0.0000 0.5000 0.0000  2 Y 2.57
Br: 0.5000 0.0000 0.0000  2 Y 2.57

## Properties
Formation energy without anion corrections (meV/atom): 509
Final energy (eV per atom): -4.97
Crystal system: tetragonal

A geometry-optimized NiAgP2 structure, computed with GGA-PBEsol.

a = 4.2131 Å, b = 4.2131 Å, c = 3.1977 Å
α = 90.00°, β = 90.00°, γ = 101.59°
Closest atoms and distances in Å follow each position.
Positions (direct):
Ni: 0.0000 0.0000 0.0000  8 P 2.64, 2 Ag 2.66
Ag: 0.5000 0.5000 0.0000  8 P 2.64, 2 Ni 2.66
P: 0.0000 0.5000 0.5000  4 Ni 2.64, 4 Ag 2.64, 2 P 2.66
P: 0.5000 0.0000 0.5000  4 Ni 2.64, 4 Ag 2.64, 2 P 2.66

## Properties
Final energy (eV per atom): -4.98
Crystal system: orthorhombic
Distance to the lowest polymorph of the same formula (meV/atom): 5

A geometry-optimized Mg4TcOs structure, computed with GGA-PBEsol.

a = 5.1791 Å, b = 5.1791 Å, c = 5.1791 Å
α = 60.00°, β = 60.00°, γ = 60.00°
Closest atoms and distances in Å follow each position.
Positions (direct):
Mg: 0.1249 0.1249 0.1249  6 Mg 2.59
Mg: 0.1249 0.1249 0.6253  6 Mg 2.59
Mg: 0.1249 0.6253 0.1249  6 Mg 2.59
Mg: 0.6253 0.1249 0.1249  6 Mg 2.59
Tc: 0.5000 0.5000 0.5000  12 Mg 3.04, 4 Os 3.17
Os: 0.7500 0.7500 0.7500  12 Mg 3.04, 4 Tc 3.17

## Properties
Final energy (eV per atom): -4.27
Crystal system: cubic

A geometry-optimized KRu3I structure, computed with GGA-PBEsol.

a = 4.7450 Å, b = 4.7450 Å, c = 4.7450 Å
α = 90.00°, β = 90.00°, γ = 90.00°
Closest atoms and distances in Å follow each position.
Positions (direct):
K: 0.0000 0.0000 0.0000  6 Ru 2.37
Ru: 0.0000 0.0000 0.5000  2 K 2.37
Ru: 0.0000 0.5000 0.0000  2 K 2.37
Ru: 0.5000 0.0000 0.0000  2 K 2.37
I: 0.5000 0.5000 0.5000  12 Ru 3.36

## Properties
Formation energy without anion corrections (meV/atom): 3017
Final energy (eV per atom): -3.67
Crystal system: cubic

A geometry-optimized SrLaZn2 structure, computed with GGA-PBEsol.

a = 5.1364 Å, b = 5.1364 Å, c = 5.1364 Å
α = 60.00°, β = 60.00°, γ = 60.00°
Closest atoms and distances in Å follow each position.
Positions (direct):
Sr: 0.0000 0.0000 0.0000  4 Zn 3.15, 4 La 3.15
La: 0.2500 0.2500 0.2500  4 Sr 3.15, 4 Zn 3.15
Zn: 0.5000 0.5000 0.5000  4 La 3.15, 4 Zn 3.15
Zn: 0.7500 0.7500 0.7500  4 Sr 3.15, 4 Zn 3.15

## Properties
Final energy (eV per atom): -2.47
Crystal system: cubic

A geometry-optimized AlAsIr2 structure, computed with GGA-PBEsol.

a = 5.3529 Å, b = 5.3529 Å, c = 5.3529 Å
α = 148.06°, β = 133.32°, γ = 57.68°
Closest atoms and distances in Å follow each position.
Positions (direct):
Al: 0.0000 0.0000 0.0000  6 Ir 2.59-2.69, 2 As 2.90
As: 0.7342 0.2342 0.5000  6 Ir 2.52-2.58
Ir: 0.2400 0.7400 0.5000  4 As 2.58, 2 Al 2.69
Ir: 0.5164 0.5164 0.0000  2 As 2.52, 4 Al 2.59

## Properties
Final energy (eV per atom): -7.39
Crystal system: orthorhombic
Distance to the lowest polymorph of the same formula (meV/atom): 0

A geometry-optimized CaZrV2O8 structure, computed with GGA-PBEsol.

a = 5.8183 Å, b = 5.8183 Å, c = 5.8183 Å
α = 106.03°, β = 106.03°, γ = 116.59°
Closest atoms and distances in Å follow each position.
Positions (direct):
Ca: 0.0000 0.0000 0.0000  8 O 2.28-2.47
Zr: 0.7500 0.2500 0.5000  8 O 2.18-2.27
V: 0.2500 0.7500 0.5000  4 O 1.71
V: 0.5000 0.5000 0.0000  4 O 1.71
O: 0.0598 0.3812 0.3214  1 V 1.71
O: 0.0598 0.7384 0.6786  1 V 1.71
O: 0.1372 0.3347 0.8025  1 V 1.71
O: 0.2616 0.9402 0.3214  1 V 1.71
O: 0.5322 0.3347 0.1975  1 V 1.71
O: 0.6188 0.9402 0.6786  1 V 1.71
O: 0.6653 0.4678 0.8025  1 V 1.71
O: 0.6653 0.8628 0.1975  1 V 1.71

## Properties
Formation energy without anion corrections (meV/atom): -2837
Final energy (eV per atom): -8.88
Crystal system: tetragonal

A geometry-optimized Na2LiRu structure, computed with GGA-PBEsol.

a = 6.0288 Å, b = 6.0288 Å, c = 6.0288 Å
α = 101.58°, β = 101.58°, γ = 126.77°
Closest atoms and distances in Å follow each position.
Positions (direct):
Na: 0.1083 0.6250 0.9833  2 Li 2.69, 2 Na 2.71, 2 Ru 2.87
Na: 0.3750 0.3583 0.4833  2 Li 2.69, 2 Na 2.71, 2 Ru 2.87
Na: 0.6417 0.1250 0.0167  2 Li 2.69, 2 Na 2.71, 2 Ru 2.87
Na: 0.8750 0.8917 0.5167  2 Li 2.69, 2 Na 2.71, 2 Ru 2.87
Li: 0.0000 0.0000 0.0000  4 Na 2.69, 2 Ru 2.70
Li: 0.7500 0.2500 0.5000  4 Na 2.69, 2 Ru 2.70
Ru: 0.2500 0.7500 0.5000  2 Li 2.70, 4 Na 2.87
Ru: 0.5000 0.5000 0.0000  2 Li 2.70, 4 Na 2.87

## Properties
Final energy (eV per atom): -2.72
Crystal system: tetragonal

A geometry-optimized AlSiMo structure, computed with GGA-PBEsol.

a = 4.7430 Å, b = 4.7430 Å, c = 4.7430 Å
α = 140.68°, β = 140.68°, γ = 56.82°
Closest atoms and distances in Å follow each position.
Positions (direct):
Al: 0.0000 0.0000 0.0000  5 Si 2.68-2.73, 5 Mo 2.70
Si: 0.6726 0.6726 0.0000  4 Mo 2.58, 5 Al 2.68-2.73
Mo: 0.3234 0.3234 0.0000  4 Si 2.58, 5 Al 2.70

## Properties
Formation energy without anion corrections (meV/atom): -369
Final energy (eV per atom): -7.57
Crystal system: tetragonal

A geometry-optimized TlReNO2 structure, computed with GGA-PBEsol.

a = 3.9396 Å, b = 3.9396 Å, c = 3.9512 Å
α = 90.00°, β = 90.00°, γ = 90.00°
Closest atoms and distances in Å follow each position.
Positions (direct):
Tl: 0.0000 0.0000 0.0000  4 N 2.79, 8 O 2.79
Re: 0.5000 0.5000 0.5000  4 O 1.97, 2 N 1.98
N: 0.5000 0.5000 0.0000  2 Re 1.98
O: 0.0000 0.5000 0.5000  2 Re 1.97
O: 0.5000 0.0000 0.5000  2 Re 1.97

## Properties
Formation energy without anion corrections (meV/atom): -680
Final energy (eV per atom): -7.68
Crystal system: tetragonal

A geometry-optimized SbOs2RuPt structure, computed with GGA-PBEsol.

a = 4.6559 Å, b = 4.6559 Å, c = 4.9270 Å
α = 90.00°, β = 90.00°, γ = 90.00°
Closest atoms and distances in Å follow each position.
Positions (direct):
Sb: 0.0000 0.0000 0.0000  2 Pt 2.46
Os: 0.0000 0.5000 0.5000  2 Pt 2.33
Os: 0.5000 0.0000 0.5000  2 Pt 2.33
Ru: 0.5000 0.5000 0.0000  4 Sb 3.29, 8 Os 3.39
Pt: 0.0000 0.0000 0.5000  4 Os 2.33, 2 Sb 2.46

## Properties
Formation energy without anion corrections (meV/atom): 2545
Final energy (eV per atom): -6.68
Crystal system: tetragonal

A geometry-optimized Ba2CaCd structure, computed with GGA-PBEsol.

a = 7.5048 Å, b = 7.5048 Å, c = 6.2283 Å
α = 114.42°, β = 114.42°, γ = 32.04°
Closest atoms and distances in Å follow each position.
Positions (direct):
Ba: 0.0000 0.0000 0.0000  4 Cd 3.74-3.75, 4 Ba 4.04-4.14, 2 Ca 4.10-4.11
Ba: 0.1977 0.1977 0.6974  2 Cd 3.48
Ca: 0.7951 0.7951 0.2947  2 Cd 3.21
Cd: 0.4833 0.4833 0.4837  2 Ca 3.21, 2 Ba 3.48

## Properties
Final energy (eV per atom): -2.04
Crystal system: monoclinic

A geometry-optimized ReNiP structure, computed with GGA-PBEsol.

a = 3.8185 Å, b = 3.8185 Å, c = 3.8185 Å
α = 60.00°, β = 60.00°, γ = 60.00°
Closest atoms and distances in Å follow each position.
Positions (direct):
Re: 0.0000 0.0000 0.0000  4 P 2.34
Ni: 0.5000 0.5000 0.5000  4 P 2.34
P: 0.2500 0.2500 0.2500  4 Re 2.34, 4 Ni 2.34

## Properties
Final energy (eV per atom): -8.67
Crystal system: cubic